[1]
K2Bi2Br after structural relaxation. Source: Alexandria via LeMat-Bulk, functional PBE.

Summary:
Electronic total energy: -2.849 eV/atom

Lattice parameters (Å, degrees): 9.0859 9.0859 5.4737 90.00 90.00 90.00
With the nearest neighbours (Å) after each atom.
Element x y z (fractional)
Bi  0.6075  0.8925  0.5000  1 Bi 2.76
Bi  0.1075  0.6075  0.5000  1 Bi 2.76
Bi  0.3925  0.1075  0.5000  1 Bi 2.76
Bi  0.8925  0.3925  0.5000  1 Bi 2.76
K  0.3106  0.8106  0.0000  2 Br 3.31
K  0.8106  0.6894  0.0000  2 Br 3.31
K  0.1894  0.3106  0.0000  2 Br 3.31
K  0.6894  0.1894  0.0000  2 Br 3.31
Br  0.0000  0.0000  0.0000  4 K 3.31
Br  0.5000  0.5000  0.0000  4 K 3.31

[2]
BaMnInCl2 after structural relaxation. Source: Alexandria via LeMat-Bulk, functional PBE.

Summary:
Electronic total energy: -3.548 eV/atom

Lattice parameters (Å, degrees): 5.5320 6.7533 5.5320 90.00 90.00 90.00
With the nearest neighbours (Å) after each atom.
Element x y z (fractional)
Mn  0.5000  0.5000  0.5000  4 Ba 3.91, 8 Cl 4.36
Cl  0.0000  0.0000  0.5000  2 In 2.77
Cl  0.5000  0.0000  0.0000  2 In 2.77
In  0.0000  0.0000  0.0000  4 Cl 2.77
Ba  0.0000  0.5000  0.0000  2 In 3.38

[3]
Ac4GeS3 after structural relaxation. Source: Alexandria via LeMat-Bulk, functional PBE.

Summary:
Electronic total energy: -5.925 eV/atom

Lattice parameters (Å, degrees): 6.2105 6.2105 7.6196 114.05 114.05 90.00
With the nearest neighbours (Å) after each atom.
Element x y z (fractional)
Ac  0.7489  0.7489  0.4977  5 S 3.10-3.11, 1 Ge 3.13
Ac  0.2511  0.2511  0.5023  5 S 3.10-3.11, 1 Ge 3.13
Ac  0.5000  0.0000  0.0000  4 S 3.11, 2 Ge 3.11
Ac  0.0000  0.5000  0.0000  2 Ge 3.11, 4 S 3.11
S  0.7500  0.2500  0.5000  6 Ac 3.11
S  0.2500  0.7500  0.5000  6 Ac 3.11
S  0.5000  0.5000  0.0000  6 Ac 3.10-3.11
Ge  0.0000  0.0000  0.0000  6 Ac 3.11-3.13

[4]
Sm4RuRh3 after structural relaxation. Source: Alexandria via LeMat-Bulk, functional PBE.

Summary:
DFT formation energy: -0.589 eV/atom

Lattice parameters (Å, degrees): 3.5195 3.5195 13.7477 90.00 90.00 90.00
With the nearest neighbours (Å) after each atom.
Element x y z (fractional)
Sm  0.0000  0.0000  0.1238  4 Ru 3.02, 4 Rh 3.06
Sm  0.0000  0.0000  0.8762  4 Ru 3.02, 4 Rh 3.06
Sm  0.0000  0.0000  0.3748  8 Rh 3.00-3.03
Sm  0.0000  0.0000  0.6252  8 Rh 3.00-3.03
Ru  0.5000  0.5000  0.0000  8 Sm 3.02
Rh  0.5000  0.5000  0.5000  8 Sm 3.03
Rh  0.5000  0.5000  0.7472  8 Sm 3.00-3.06
Rh  0.5000  0.5000  0.2528  8 Sm 3.00-3.06

[5]
Ce2Ni5Ge4 after structural relaxation. Source: Alexandria via LeMat-Bulk, functional PBE.

Summary:
DFT formation energy: -0.501 eV/atom

Lattice parameters (Å, degrees): 5.5002 5.4970 7.4725 79.39 68.41 59.98
With the nearest neighbours (Å) after each atom.
Element x y z (fractional)
Ce  0.1406  0.0000  0.7187  6 Ge 3.12-3.30, 10 Ni 3.14-3.37
Ce  0.8594  0.0000  0.2813  6 Ge 3.12-3.30, 10 Ni 3.14-3.37
Ge  0.7838  0.6929  0.7395  5 Ni 2.33-2.45
Ge  0.4767  0.3071  0.7395  5 Ni 2.33-2.45
Ge  0.5233  0.6929  0.2605  5 Ni 2.33-2.45
Ge  0.2162  0.3071  0.2605  5 Ni 2.33-2.45
Ni  0.5000  0.0000  0.0000  4 Ge 2.33
Ni  0.7500  0.5000  0.5000  4 Ge 2.35
Ni  0.2500  0.5000  0.5000  4 Ge 2.35
Ni  0.0000  0.5000  0.0000  4 Ge 2.45
Ni  0.5000  0.5000  0.0000  4 Ge 2.45

[6]
SmZnBi2 after structural relaxation. Source: Alexandria via LeMat-Bulk, functional PBE.

Summary:
DFT formation energy: -0.360 eV/atom

Lattice parameters (Å, degrees): 4.7166 4.8126 4.8126 90.00 90.00 90.00
With the nearest neighbours (Å) after each atom.
Element x y z (fractional)
Zn  0.5000  0.0000  0.0000  8 Bi 3.37, 4 Sm 3.40
Sm  0.5000  0.5000  0.5000  8 Bi 3.37, 4 Zn 3.40
Bi  0.0000  0.0000  0.5000  4 Sm 3.37, 4 Zn 3.37, 4 Bi 3.40
Bi  0.0000  0.5000  0.0000  4 Sm 3.37, 4 Zn 3.37, 4 Bi 3.40

[7]
CaAl2Cd after structural relaxation. Source: Alexandria via LeMat-Bulk, functional PBE.

Summary:
DFT formation energy: -0.004 eV/atom

Lattice parameters (Å, degrees): 6.9997 5.5275 3.1822 90.53 62.02 119.88
With the nearest neighbours (Å) after each atom.
Element x y z (fractional)
Al  0.5000  0.0000  0.5000  4 Al 3.09-3.18, 4 Ca 3.18-3.20, 4 Cd 3.18-3.20
Al  0.0000  0.0000  0.0000  4 Al 3.09-3.18, 4 Cd 3.18-3.20, 4 Ca 3.18-3.20
Ca  0.0000  0.5000  0.5000  2 Cd 3.09, 8 Al 3.18-3.20, 2 Ca 3.18
Cd  0.5000  0.5000  0.0000  2 Ca 3.09, 8 Al 3.18-3.20, 2 Cd 3.18

[8]
Hf4Zn3Cd after structural relaxation. Source: Alexandria via LeMat-Bulk, functional PBE.

Summary:
DFT formation energy: -0.105 eV/atom

Lattice parameters (Å, degrees): 3.3371 4.7643 9.4770 90.00 90.00 90.00
With the nearest neighbours (Å) after each atom.
Element x y z (fractional)
Hf  0.0000  0.0000  0.0000  4 Zn 2.89, 4 Cd 2.91
Hf  0.0000  0.0000  0.5000  8 Zn 2.91
Hf  0.0000  0.5000  0.7389  6 Zn 2.81-2.91, 2 Cd 2.98
Hf  0.0000  0.5000  0.2611  6 Zn 2.81-2.91, 2 Cd 2.98
Zn  0.5000  0.0000  0.2489  8 Hf 2.89-2.91
Zn  0.5000  0.5000  0.5000  8 Hf 2.81-2.91
Zn  0.5000  0.0000  0.7511  8 Hf 2.89-2.91
Cd  0.5000  0.5000  0.0000  8 Hf 2.91-2.98

[9]
Y3Ho7 after structural relaxation. Source: Alexandria via LeMat-Bulk, functional PBE.

Summary:
DFT formation energy: 0.020 eV/atom

Lattice parameters (Å, degrees): 4.9950 7.0979 9.3655 100.88 105.47 90.00
With the nearest neighbours (Å) after each atom.
Element x y z (fractional)
Ho  0.6002  0.8002  0.2003  4 Y 3.53-3.54, 8 Ho 3.54-3.55
Ho  0.0000  0.5000  0.0000  4 Y 3.53-3.55, 8 Ho 3.53-3.54
Ho  0.3998  0.1998  0.7997  4 Y 3.53-3.54, 8 Ho 3.54-3.55
Ho  0.2000  0.0994  0.4000  7 Ho 3.53-3.54, 5 Y 3.54-3.56
Ho  0.8000  0.9006  0.6000  7 Ho 3.53-3.54, 5 Y 3.54-3.56
Ho  0.4004  0.7001  0.8008  7 Ho 3.53-3.55, 5 Y 3.54-3.55
Ho  0.5996  0.2999  0.1992  7 Ho 3.53-3.55, 5 Y 3.54-3.55
Y  0.0000  0.0000  0.0000  12 Ho 3.54-3.55
Y  0.1996  0.6004  0.3992  10 Ho 3.53-3.56, 2 Y 3.55
Y  0.8004  0.3996  0.6008  10 Ho 3.53-3.56, 2 Y 3.55

[10]
Pm2Ge2Pd5 after structural relaxation. Source: Alexandria via LeMat-Bulk, functional PBE.

Summary:
DFT formation energy: -0.820 eV/atom

Lattice parameters (Å, degrees): 4.2896 4.2896 9.1580 90.00 90.00 90.00
With the nearest neighbours (Å) after each atom.
Element x y z (fractional)
Pd  0.0000  0.5000  0.2744  2 Ge 2.49
Pd  0.0000  0.5000  0.7256  2 Ge 2.49
Pd  0.5000  0.0000  0.7256  2 Ge 2.49
Pd  0.5000  0.5000  0.5000  8 Pd 2.98, 4 Pm 3.03, 2 Ge 3.34
Pd  0.5000  0.0000  0.2744  2 Ge 2.49
Ge  0.5000  0.5000  0.1358  1 Ge 2.49, 4 Pd 2.49
Ge  0.5000  0.5000  0.8642  1 Ge 2.49, 4 Pd 2.49
Pm  0.0000  0.0000  0.0000  8 Ge 3.28, 8 Pd 3.30
Pm  0.0000  0.0000  0.5000  12 Pd 2.98-3.03

[11]
TlAs3O after structural relaxation. Source: Alexandria via LeMat-Bulk, functional PBE.

Summary:
Electronic total energy: -2.642 eV/atom

Lattice parameters (Å, degrees): 5.3665 5.3665 5.3665 90.00 90.00 90.00
With the nearest neighbours (Å) after each atom.
Element x y z (fractional)
O  0.5000  0.5000  0.5000  12 As 3.79
As  0.0000  0.5000  0.0000  2 Tl 2.68
As  0.0000  0.0000  0.5000  2 Tl 2.68
As  0.5000  0.0000  0.0000  2 Tl 2.68
Tl  0.0000  0.0000  0.0000  6 As 2.68

[12]
LaRePt2F after structural relaxation. Source: Alexandria via LeMat-Bulk, functional PBE.

Summary:
Electronic total energy: -6.106 eV/atom

Lattice parameters (Å, degrees): 4.8804 3.9381 4.8804 90.00 90.00 90.00
With the nearest neighbours (Å) after each atom.
Element x y z (fractional)
F  0.0000  0.0000  0.0000  2 Re 1.97
Pt  0.0000  0.0000  0.5000  2 F 2.44
Pt  0.5000  0.0000  0.0000  2 F 2.44
La  0.5000  0.5000  0.5000  8 Pt 3.14, 4 Re 3.45
Re  0.0000  0.5000  0.0000  2 F 1.97

[13]
TlTcHgGe2 after structural relaxation. Source: Alexandria via LeMat-Bulk, functional PBE.

Summary:
DFT formation energy: 0.147 eV/atom

Lattice parameters (Å, degrees): 4.8318 4.8318 5.4513 90.00 90.00 90.00
With the nearest neighbours (Å) after each atom.
Element x y z (fractional)
Tc  0.0000  0.0000  0.0000  4 Ge 2.42
Hg  0.5000  0.5000  0.5000  4 Tl 3.42, 8 Ge 3.64
Ge  0.0000  0.5000  0.0000  2 Tc 2.42
Ge  0.5000  0.0000  0.0000  2 Tc 2.42
Tl  0.0000  0.0000  0.5000  2 Tc 2.73

Table of DOS(E_F) (states/eV per atom), in record order: 0.60 0.55 0.35 0.57 1.54 0.53 0.48 0.32 1.27 0.31 1.02 1.16 0.08
Table of mass density (g/cm³), in record order: 4.2 3.0 7.4 9.9 7.9 9.6 3.8 11.3 7.5 9.5 4.8 13.0 8.5